NiSbPO2: relaxed, PBE+U.

a = 3.852 Å, b = 3.852 Å, c = 4.551 Å
α = 90.00°, β = 90.00°, γ = 90.00°
Sites, in units of the cell vectors:
1 O 0.000 0.500 0.000
2 Sb 0.500 0.500 0.500
3 O 0.500 0.000 0.000
4 Ni 0.000 0.000 0.000
5 P 0.000 0.000 0.500

Summary:
Size of the total moment: 0.5 μB per formula unit
V: 13.50 A^3/atom
Energy: -21.89 eV per cell